The following is a DFT calculation (PBE) of a relaxed TlBiAu crystal.

The size of the total moment is 0.0 μB per formula unit. The crystal system is monoclinic. Its calculated formation energy is -15.5 meV per atom. The total energy comes out at -76.6 eV per cell. As for the excess energy over the best structure of this formula in the dataset: 0.04 eV per formula unit.

abc: 9.622 10.662 6.941
angles: 90.00 101.89 90.00
Space group Cc (No. 9)
Asymmetric unit:
1 Tl 0.000 0.080 0.000 x4
2 Tl 0.170 0.379 0.137 x4
3 Bi 0.022 0.274 0.544 x4
4 Bi 0.288 0.084 0.694 x4
5 Au 0.300 0.375 0.775 x4
6 Au 0.379 0.168 0.350 x4